No. 1
K2CoNi: optimized geometry, GGA-PBE.

Cell lengths 2.9834, 2.9834, 32.2846 Å; angles 90.00, 90.00, 120.00 degrees
Positions (direct):
K: 0.0000 0.0000 0.2472
K: 0.0000 0.0000 0.7528
K: 0.3333 0.6667 0.4195
K: 0.3333 0.6667 0.9139
K: 0.6667 0.3333 0.0861
K: 0.6667 0.3333 0.5805
Co: 0.0000 0.0000 0.0000
Co: 0.3333 0.6667 0.6667
Co: 0.6667 0.3333 0.3333
Ni: 0.0000 0.0000 0.5000
Ni: 0.3333 0.6667 0.1667
Ni: 0.6667 0.3333 0.8333

Results
excess energy over the best structure of this formula in the dataset	643.6	meV/atom
space-group type	R-3m (166)
ΔE_f	113.4	kJ/mol of atoms
energy	-2.596	eV per atom
spin magnetization	3.3	Bohr magnetons per cell

---

No. 2
BaCu2PH2: optimized geometry, GGA-PBE.

Cell lengths 6.5405, 5.0719, 6.5502 Å; angles 90.00, 111.72, 90.00 degrees
Positions (direct):
Ba: 0.1819 0.2500 0.3041
Ba: 0.8181 0.7500 0.6959
Cu: 0.3365 0.0004 0.8224
Cu: 0.3365 0.4996 0.8224
Cu: 0.6635 0.9996 0.1776
Cu: 0.6635 0.5004 0.1776
P: 0.3462 0.7500 0.1294
P: 0.6538 0.2500 0.8706
H: 0.1472 0.2500 0.7476
H: 0.2750 0.7500 0.6357
H: 0.7250 0.2500 0.3643
H: 0.8528 0.7500 0.2524

Results
space-group type	P2_1/m (11)
energy	-4.035	eV per atom
spin magnetization	0.0	Bohr magnetons per cell

---

No. 3
BaCeTl2F8: optimized geometry, GGA-PBE.

Cell lengths 4.1456, 8.5189, 6.6726 Å; angles 90.00, 90.09, 90.00 degrees
Positions (direct):
Ba: 0.0000 0.0000 0.0000
Ce: 0.0000 0.5000 0.0000
Tl: 0.5000 0.2471 0.5000
Tl: 0.5000 0.7529 0.5000
F: 0.0006 0.2906 0.7999
F: 0.0006 0.7094 0.7999
F: 0.4994 0.0000 0.7557
F: 0.4994 0.5000 0.1840
F: 0.5006 0.0000 0.2443
F: 0.5006 0.5000 0.8160
F: 0.9994 0.2906 0.2001
F: 0.9994 0.7094 0.2001

Results
space-group type	P2/m (10)
energy	-5.440	eV per atom
formation energy (no corrections)	-3144	meV per atom
spin magnetization	0.0	Bohr magnetons per cell

---

No. 4
Pr3Dy2Hg3: optimized geometry, GGA-PBE.

Cell lengths 3.7978, 5.5122, 22.5652 Å; angles 90.00, 90.00, 90.00 degrees
Positions (direct):
Pr: 0.0000 0.0000 0.0000
Pr: 0.0000 0.5000 0.1226
Pr: 0.0000 0.5000 0.8774
Pr: 0.5000 0.0000 0.3774
Pr: 0.5000 0.0000 0.6226
Pr: 0.5000 0.5000 0.5000
Dy: 0.0000 0.0000 0.2339
Dy: 0.0000 0.0000 0.7661
Dy: 0.5000 0.5000 0.2661
Dy: 0.5000 0.5000 0.7339
Hg: 0.0000 0.0000 0.5000
Hg: 0.0000 0.5000 0.3759
Hg: 0.0000 0.5000 0.6241
Hg: 0.5000 0.0000 0.1241
Hg: 0.5000 0.0000 0.8759
Hg: 0.5000 0.5000 0.0000

Results
space-group type	Immm (71)
ΔE_f	-34.2	kJ/mol of atoms
energy	-3.410	eV per atom
spin magnetization	1.5	Bohr magnetons per cell

---

No. 5
HfGa2S6: optimized geometry, GGA-PBE.

Cell lengths 8.1418, 8.1418, 6.9188 Å; angles 99.78, 99.78, 91.71 degrees
Positions (direct):
Hf: 0.1055 0.8945 0.7500
Hf: 0.8945 0.1055 0.2500
Ga: 0.2295 0.4080 0.6907
Ga: 0.4080 0.2295 0.1907
Ga: 0.5920 0.7705 0.8093
Ga: 0.7705 0.5920 0.3093
S: 0.0667 0.1707 0.6007
S: 0.0775 0.6089 0.8098
S: 0.1707 0.0667 0.1007
S: 0.3738 0.4778 0.4277
S: 0.3911 0.9225 0.6902
S: 0.4778 0.3738 0.9277
S: 0.5222 0.6262 0.0723
S: 0.6089 0.0775 0.3098
S: 0.6262 0.5222 0.5723
S: 0.8293 0.9333 0.8993
S: 0.9225 0.3911 0.1902
S: 0.9333 0.8293 0.3993

Results
space-group type	C2/c (15)
energy	-5.286	eV per atom
formation energy (no corrections)	-756	meV per atom
spin magnetization	0.0	Bohr magnetons per cell

---

No. 6
EuPuGe: optimized geometry, GGA-PBE.

Cell lengths 5.0258, 5.0258, 3.5052 Å; angles 90.00, 90.00, 120.00 degrees
Positions (direct):
Eu: 0.0000 0.0000 0.0000
Pu: 0.6667 0.3333 0.5837
Ge: 0.3333 0.6667 0.3436

Results
excess energy over the best structure of this formula in the dataset	76.8	meV/atom
space-group type	P3m1 (156)
ΔE_f	-14.6	kJ/mol of atoms
energy	-9.892	eV per atom
spin magnetization	1.2	Bohr magnetons per cell

---

No. 7
LaTeN2O: optimized geometry, GGA-PBE.

Cell lengths 3.9802, 3.9802, 7.2118 Å; angles 90.00, 90.00, 90.00 degrees
Positions (direct):
La: 0.0000 0.0000 0.0000
Te: 0.0000 0.0000 0.5000
N: 0.0000 0.5000 0.0000
N: 0.5000 0.0000 0.0000
O: 0.5000 0.5000 0.5000

Results
space-group type	P4/mmm (123)
energy	-4.811	eV per atom
formation energy (no corrections)	1124	meV per atom
spin magnetization	0.3	Bohr magnetons per cell

---

No. 8
DyU2CrC4: optimized geometry, GGA-PBE.

Cell lengths 5.8364, 5.8364, 11.6560 Å; angles 90.00, 90.00, 144.58 degrees
Positions (direct):
Dy: 0.1158 0.8842 0.7500
Dy: 0.8842 0.1158 0.2500
U: 0.3703 0.6297 0.5484
U: 0.3703 0.6297 0.9516
U: 0.6297 0.3703 0.0484
U: 0.6297 0.3703 0.4516
Cr: 0.1506 0.8494 0.2500
Cr: 0.8494 0.1506 0.7500
C: 0.0000 0.0000 0.0000
C: 0.0000 0.0000 0.5000
C: 0.2598 0.7402 0.1248
C: 0.2598 0.7402 0.3752
C: 0.4256 0.5744 0.7500
C: 0.5744 0.4256 0.2500
C: 0.7402 0.2598 0.6248
C: 0.7402 0.2598 0.8752

Results
space-group type	Cmcm (63)
ΔE_f	-6.5	kJ/mol of atoms
energy	-9.280	eV per atom
spin magnetization	0.0	Bohr magnetons per cell

---

No. 9
U6PdSe12: optimized geometry, GGA-PBE.

Cell lengths 8.1598, 8.1598, 8.1598 Å; angles 100.82, 100.82, 100.82 degrees
Positions (direct):
U: 0.1264 0.7965 0.6304
U: 0.2035 0.3696 0.8736
U: 0.3696 0.8736 0.2035
U: 0.6304 0.1264 0.7965
U: 0.7965 0.6304 0.1264
U: 0.8736 0.2035 0.3696
Pd: 0.5000 0.5000 0.5000
Se: 0.0700 0.6750 0.9257
Se: 0.0743 0.9300 0.3250
Se: 0.1858 0.4424 0.5441
Se: 0.3250 0.0743 0.9300
Se: 0.4424 0.5441 0.1858
Se: 0.4559 0.8142 0.5576
Se: 0.5441 0.1858 0.4424
Se: 0.5576 0.4559 0.8142
Se: 0.6750 0.9257 0.0700
Se: 0.8142 0.5576 0.4559
Se: 0.9257 0.0700 0.6750
Se: 0.9300 0.3250 0.0743

Results
space-group type	R-3 (148)
energy	-7.037	eV per atom
formation energy (no corrections)	-998	meV per atom
spin magnetization	13.4	Bohr magnetons per cell

---

No. 10
NdSm2ThS4: optimized geometry, GGA-PBE.

Cell lengths 6.9845, 4.0107, 7.0030 Å; angles 90.00, 109.27, 90.00 degrees
Positions (direct):
Nd: 0.0000 0.0000 0.0000
Sm: 0.0000 0.5000 0.5000
Sm: 0.5000 0.0000 0.5000
Th: 0.5000 0.5000 0.0000
S: 0.2492 0.0000 0.7455
S: 0.2527 0.5000 0.2546
S: 0.7473 0.5000 0.7454
S: 0.7508 0.0000 0.2545

Results
space-group type	P2/m (10)
energy	-6.739	eV per atom
formation energy (no corrections)	-1972	meV per atom
spin magnetization	0.0	Bohr magnetons per cell

---

No. 11
MgMn2Ir: optimized geometry, GGA-PBE.

Cell lengths 4.3991, 4.3991, 3.0414 Å; angles 90.00, 90.00, 90.00 degrees
Positions (direct):
Mg: 0.0000 0.0000 0.0000
Mn: 0.0000 0.5000 0.5000
Mn: 0.5000 0.0000 0.5000
Ir: 0.5000 0.5000 0.0000

Results
space-group type	P4/mmm (123)
ΔE_f	-0.4	kJ/mol of atoms
energy	-7.203	eV per atom
spin magnetization	7.0	Bohr magnetons per cell

---

No. 12
BaCr2Br: optimized geometry, GGA-PBE.

Cell lengths 4.6686, 4.7018, 5.2978 Å; angles 90.00, 90.00, 90.00 degrees
Positions (direct):
Ba: 0.0000 0.0000 0.0000
Cr: 0.5000 0.1870 0.5000
Cr: 0.5000 0.8130 0.5000
Br: 0.5000 0.5000 0.0000

Results
excess energy over the best structure of this formula in the dataset	383.5	meV/atom
space-group type	Pmmm (47)
energy	-5.221	eV per atom
formation energy (no corrections)	489	meV per atom
spin magnetization	0.0	Bohr magnetons per cell